NaSrSI | PBE-GGA | optimized geometry

As for the density of states at the Fermi level: 0.00 states/eV per cell. Its total magnetization is 0.00 μB/atom. For the formation energy from raw total energies, the calculation gives -1.615 eV/atom. The calculated density comes out at 3.56 Mg/m³.

The space group is R3m (No. 160, hexagonal axes) and the conventional cell measures 4.4089, 4.4089 and 22.4110 Å, with angles of 90.00, 90.00 and 120.00 degrees. Symmetry generates all atoms from Na at (0.0000, 0.0000, 0.0000), Sr at (0.0000, 0.0000, 0.4636), S at (0.0000, 0.0000, 0.7331) and I at (0.0000, 0.0000, 0.2322).